# 1
DFT (PBE-GGA) results for a relaxed P2PdIO crystal.

Cell lengths 4.836, 4.836, 3.976 Å; angles 90.00, 90.00, 90.00 degrees
Element x y z (fractional)
P: 0.000 0.500 0.000
P: 0.500 0.000 0.000
I: 0.500 0.500 0.500
Pd: 0.000 0.000 0.000
O: 0.000 0.000 0.500

Properties
E above lowest polymorph in meV/atom: 0
Total moment in μB/f.u.: 0.00
Energy in eV/atom: -3.952
Raw formation energy in meV per atom: 552

***

# 2
DFT (PBE-GGA) results for a relaxed PPdIO2 crystal.

Cell lengths 3.996, 3.996, 5.166 Å; angles 90.00, 90.00, 90.00 degrees
Site moments in Bohr magnetons follow the coordinates.
Element x y z (fractional)
P: 0.000 0.000 0.500  0.03
O: 0.000 0.500 0.000  0.44
O: 0.500 0.000 0.000  0.44
I: 0.500 0.500 0.500  0.08
Pd: 0.000 0.000 0.000  0.37

Properties
E above lowest polymorph in meV/atom: 597
Total moment in μB/f.u.: 1.57
Energy in eV/atom: -4.067
Raw formation energy in meV per atom: 346

***

# 3
DFT (PBE-GGA) results for a relaxed PPdIO2 crystal.

Cell lengths 3.849, 3.849, 7.985 Å; angles 90.00, 90.00, 90.00 degrees
Site moments in Bohr magnetons follow the coordinates.
Element x y z (fractional)
Pd: 0.000 0.000 0.000  0.35
P: 0.500 0.500 0.500  0.11
O: 0.500 0.000 0.000  0.30
O: 0.000 0.500 0.000  0.30
I: 0.000 0.000 0.500  0.03

Properties
E above lowest polymorph in meV/atom: 732
Total moment in μB/f.u.: 1.36
Energy in eV/atom: -3.933
Raw formation energy in meV per atom: 481

***

# 4
DFT (PBE-GGA) results for a relaxed PrPIO4 crystal.

Cell lengths 6.648, 6.648, 6.801 Å; angles 81.59, 81.59, 58.27 degrees
Element x y z (fractional)
P: 0.636 0.636 0.749
P: 0.364 0.364 0.251
O: 0.131 0.512 0.135
O: 0.488 0.869 0.865
O: 0.497 0.497 0.232
O: 0.695 0.695 0.530
O: 0.512 0.131 0.135
O: 0.503 0.503 0.768
O: 0.869 0.488 0.865
O: 0.305 0.305 0.470
Pr: 0.699 0.699 0.188
Pr: 0.301 0.301 0.812
I: 0.032 0.032 0.302
I: 0.968 0.968 0.698

Properties
Total moment in μB/f.u.: 0.00
Energy in eV/atom: -6.899
Raw formation energy in meV per atom: -2388

***

# 5
DFT (PBE-GGA) results for a relaxed Pr4PI2O crystal.

Cell lengths 4.062, 7.027, 8.101 Å; angles 107.26, 90.00, 90.00 degrees
Element x y z (fractional)
I: 0.500 0.000 0.500
I: 0.000 0.500 0.500
P: 0.500 0.500 0.000
Pr: 0.500 0.205 0.176
Pr: 0.500 0.795 0.824
Pr: 0.000 0.241 0.822
Pr: 0.000 0.759 0.178
O: 0.000 0.000 0.000

Properties
Total moment in μB/f.u.: 0.00
Energy in eV/atom: -5.586
Raw formation energy in meV per atom: -1513

***

# 6
DFT (PBE-GGA) results for a relaxed PuP2IO8 crystal.

Cell lengths 5.599, 5.599, 9.286 Å; angles 104.43, 104.43, 60.42 degrees
Site moments in Bohr magnetons follow the coordinates.
Element x y z (fractional)
O: 0.834 0.834 0.115  -0.04
O: 0.158 0.606 0.851  -0.06
O: 0.606 0.158 0.851  -0.06
O: 0.842 0.394 0.149  -0.06
O: 0.394 0.842 0.149  -0.06
O: 0.166 0.166 0.885  -0.04
O: 0.223 0.223 0.632  -0.08
O: 0.777 0.777 0.368  -0.08
Pu: 0.000 0.000 0.000  3.75
I: 0.000 0.000 0.500  -0.19
P: 0.286 0.286 0.806  0.00
P: 0.714 0.714 0.194  0.00

Properties
Total moment in μB/f.u.: 2.96
Energy in eV/atom: -7.607
Raw formation energy in meV per atom: -2077

***

# 7
DFT (PBE-GGA) results for a relaxed PuPIO4 crystal.

Cell lengths 6.343, 6.343, 6.574 Å; angles 80.20, 80.20, 66.11 degrees
Site moments in Bohr magnetons follow the coordinates.
Element x y z (fractional)
Pu: 0.726 0.726 0.164  4.58
Pu: 0.274 0.274 0.836  4.58
O: 0.139 0.489 0.143  -0.03
O: 0.491 0.491 0.768  -0.03
O: 0.299 0.299 0.490  -0.03
O: 0.511 0.861 0.857  -0.03
O: 0.701 0.701 0.510  -0.03
O: 0.509 0.509 0.232  -0.03
O: 0.489 0.139 0.143  -0.03
O: 0.861 0.511 0.857  -0.03
P: 0.363 0.363 0.259  0.01
P: 0.637 0.637 0.741  0.01
I: 0.013 0.013 0.251  -0.12
I: 0.987 0.987 0.749  -0.12

Properties
Total moment in μB/f.u.: 4.36
Energy in eV/atom: -8.105
Raw formation energy in meV per atom: -2230

***

# 8
DFT (PBE-GGA) results for a relaxed RbP2IO crystal.

Cell lengths 5.446, 5.446, 4.258 Å; angles 90.00, 90.00, 90.00 degrees
Site moments in Bohr magnetons follow the coordinates.
Element x y z (fractional)
P: 0.500 0.000 0.000  0.43
P: 0.000 0.500 0.000  0.43
O: 0.000 0.000 0.500  0.08
Rb: 0.500 0.500 0.500  0.02
I: 0.000 0.000 0.000  -0.04

Properties
E above lowest polymorph in meV/atom: 0
Total moment in μB/f.u.: 2.01
Energy in eV/atom: -3.044
Raw formation energy in meV per atom: 615

***

Question: Look up the total moment of the first one.
Answer: 0.00 μB/f.u.

***

Question: Which of these has the highest energy?
Answer: RbP2IO

***

Question: What is the total moment in the fourth record?
Answer: 0.00 μB/f.u.